[1]
InRe4: single point on PBEsol structure, meta-GGA SCAN.

Cell: 4.0493 4.0493 11.0557 Å, 90.00 90.00 90.00°
Space group I4/mmm (No. 139)
Symmetry-distinct sites (fractional):
1 In 0.0000 0.0000 0.0000 [2 per cell]
2 Re 0.0000 0.0000 0.3849 [4 per cell]
3 Re 0.0000 0.5000 0.2500 [4 per cell]

Theoretical density: 15.75 g/cm3
DOS(E_F): 0.59 states/eV/atom
Energy relative to the elements: 0.399 eV per atom


[2]
Li2AlAg: single point on PBEsol structure, meta-GGA SCAN.

Cell: 6.2221 6.2221 6.2221 Å, 90.00 90.00 90.00°
Space group F-43m (No. 216)
Symmetry-distinct sites (fractional):
1 Li 0.0000 0.0000 0.0000 [4 per cell]
2 Li 0.2500 0.2500 0.2500 [4 per cell]
3 Al 0.0000 0.0000 0.5000 [4 per cell]
4 Ag 0.2500 0.2500 0.7500 [4 per cell]

Theoretical density: 4.10 g/cm3
DOS(E_F): 0.27 states/eV/atom
Energy relative to the elements: -0.286 eV per atom


[3]
AlSi2Te: single point on PBEsol structure, meta-GGA SCAN.

Cell: 3.3930 4.7318 9.2159 Å, 90.00 90.00 90.00°
Space group Immm (No. 71)
Symmetry-distinct sites (fractional):
1 Al 0.0000 0.0000 0.0000 [2 per cell]
2 Si 0.0000 0.5000 0.2625 [4 per cell]
3 Te 0.0000 0.0000 0.5000 [2 per cell]

ΔE_f (raw): 13.80 kcal/mol of atoms
Theoretical density: 4.73 g/cm3
DOS(E_F): 0.45 states/eV/atom
Excess energy over the best structure of this formula in the dataset: 24.7 kJ/mol of atoms


[4]
Ni2AgMo: single point on PBEsol structure, meta-GGA SCAN.

Cell: 2.6110 4.0792 5.0482 Å, 90.00 104.93 90.00°
Space group Pm (No. 6)
Symmetry-distinct sites (fractional):
1 Ni 0.0000 0.0000 0.0000 [1 per cell]
2 Ni 0.1318 0.5000 0.2700 [1 per cell]
3 Ag 0.7371 0.0000 0.4780 [1 per cell]
4 Mo 0.4036 0.5000 0.8077 [1 per cell]

Theoretical density: 10.27 g/cm3
DOS(E_F): 0.87 states/eV/atom
Excess energy over the best structure of this formula in the dataset: 0.0 kJ/mol of atoms
Energy relative to the elements: 0.302 eV per atom


[5]
FeMoRh2: single point on PBEsol structure, meta-GGA SCAN.

Cell: 3.7783 3.7783 7.4394 Å, 90.00 90.00 90.00°
Space group I4/mmm (No. 139)
Symmetry-distinct sites (fractional):
1 Fe 0.0000 0.0000 0.0000 [2 per cell]
2 Mo 0.0000 0.0000 0.5000 [2 per cell]
3 Rh 0.0000 0.5000 0.2500 [4 per cell]

Theoretical density: 11.18 g/cm3
DOS(E_F): 0.62 states/eV/atom
Excess energy over the best structure of this formula in the dataset: 0.0 kJ/mol of atoms
Energy relative to the elements: -0.202 eV per atom


[6]
TlS3I: single point on PBEsol structure, meta-GGA SCAN.

Cell: 5.0454 5.0454 5.0454 Å, 90.00 90.00 90.00°
Space group Pm-3m (No. 221)
Symmetry-distinct sites (fractional):
1 Tl 0.0000 0.0000 0.0000 [1 per cell]
2 S 0.0000 0.0000 0.5000 [3 per cell]
3 I 0.5000 0.5000 0.5000 [1 per cell]

ΔE_f (raw): 21.15 kcal/mol of atoms
Theoretical density: 5.53 g/cm3
DOS(E_F): 1.26 states/eV/atom


[7]
SrLi2Ca: single point on PBEsol structure, meta-GGA SCAN.

Cell: 5.7558 5.7558 4.0484 Å, 90.00 90.00 90.00°
Space group P4/mmm (No. 123)
Symmetry-distinct sites (fractional):
1 Sr 0.0000 0.0000 0.0000 [1 per cell]
2 Li 0.0000 0.5000 0.5000 [2 per cell]
3 Ca 0.5000 0.5000 0.0000 [1 per cell]

Theoretical density: 1.75 g/cm3
DOS(E_F): 0.78 states/eV/atom
Excess energy over the best structure of this formula in the dataset: 0.6 kJ/mol of atoms
Energy relative to the elements: 0.017 eV per atom


[8]
AlRePt4: single point on PBEsol structure, meta-GGA SCAN.

Cell: 7.2674 7.2674 7.2674 Å, 90.00 90.00 90.00°
Space group F-43m (No. 216)
Symmetry-distinct sites (fractional):
1 Al 0.0000 0.0000 0.0000 [4 per cell]
2 Re 0.2500 0.2500 0.7500 [4 per cell]
3 Pt 0.1246 0.1246 0.3754 [16 per cell]

Theoretical density: 17.19 g/cm3
DOS(E_F): 0.32 states/eV/atom
Energy relative to the elements: 0.276 eV per atom